1.
DFT (PBE) results for crystalline SmSnB4 at its relaxed geometry.

Unit cell a=3.233 b=3.233 c=8.289 alpha=90.00 beta=90.00 gamma=120.00
Atoms (fractional coordinates):
B (0.333, 0.667, 0.256)
Sn (0.000, 0.000, 0.000)
Sm (0.000, 0.000, 0.500)
B (0.333, 0.667, 0.744)
B (0.667, 0.333, 0.744)
B (0.667, 0.333, 0.256)

Values from the calculation:
raw total energy: -5.78 eV per atom
total moment: 0.0 μB per cell

---

2.
DFT (PBE) results for crystalline SmBe2Pt3 at its relaxed geometry.

Unit cell a=5.484 b=5.484 c=3.545 alpha=90.00 beta=90.00 gamma=120.00
Atoms (fractional coordinates):
Be (0.667, 0.333, 0.000)
Pt (0.000, 0.500, 0.500)
Pt (0.500, 0.000, 0.500)
Pt (0.500, 0.500, 0.500)
Be (0.333, 0.667, 0.000)
Sm (0.000, 0.000, 0.000)

Values from the calculation:
raw total energy: -6.04 eV per atom
total moment: 0.0 μB per cell

---

3.
DFT (PBE) results for crystalline CoReB4 at its relaxed geometry.

Unit cell a=2.963 b=2.963 c=6.379 alpha=90.00 beta=90.00 gamma=120.00
Atoms (fractional coordinates):
B (0.667, 0.333, 0.267)
B (0.333, 0.667, 0.733)
B (0.333, 0.667, 0.267)
Co (0.000, 0.000, 0.500)
B (0.667, 0.333, 0.733)
Re (0.000, 0.000, 0.000)

Values from the calculation:
raw total energy: -7.60 eV per atom
total moment: 0.0 μB per cell

---

4.
DFT (PBE) results for crystalline ReF at its relaxed geometry.

Unit cell a=3.383 b=3.383 c=3.383 alpha=60.00 beta=60.00 gamma=60.00
Atoms (fractional coordinates):
F (0.000, 0.000, 0.000)
Re (0.250, 0.250, 0.250)

Values from the calculation:
raw total energy: -5.76 eV per atom
total moment: 0.0 μB per cell

---

5.
DFT (PBE) results for crystalline DyHo2Sc3Sb2Os at its relaxed geometry.

Unit cell a=4.178 b=7.810 c=7.810 alpha=119.99 beta=90.00 gamma=90.00
Atoms (fractional coordinates):
Sc (0.500, 0.000, 0.227)
Sc (0.500, 0.773, 0.773)
Ho (0.000, 0.000, 0.605)
Sb (0.500, 0.667, 0.333)
Sc (0.500, 0.227, 0.000)
Dy (0.000, 0.395, 0.395)
Ho (0.000, 0.605, 0.000)
Os (0.000, 0.000, 0.000)
Sb (0.500, 0.333, 0.667)

Values from the calculation:
raw total energy: -6.55 eV per atom
total moment: 0.0 μB per cell

---

6.
DFT (PBE) results for crystalline KLaNiSe4 at its relaxed geometry.

Unit cell a=6.334 b=6.371 c=9.724 alpha=90.00 beta=108.71 gamma=90.00
Atoms (fractional coordinates):
Ni (0.104, 0.478, 0.812)
K (0.792, 0.973, 0.572)
Se (0.212, 0.476, 0.063)
Se (0.310, 0.738, 0.754)
La (0.684, 0.473, 0.960)
Se (0.696, 0.712, 0.245)
Se (0.304, 0.212, 0.755)
Se (0.754, 0.474, 0.660)
Se (0.246, 0.974, 0.340)
La (0.316, 0.973, 0.040)
K (0.208, 0.473, 0.428)
Se (0.788, 0.976, 0.937)
Ni (0.896, 0.978, 0.188)
Se (0.690, 0.238, 0.246)

Values from the calculation:
raw total energy: -4.66 eV per atom
total moment: 0.0 μB per cell

---

7.
DFT (PBE) results for crystalline HfCoSi2 at its relaxed geometry.

Unit cell a=4.356 b=4.356 c=4.356 alpha=60.00 beta=60.00 gamma=60.00
Atoms (fractional coordinates):
Hf (0.500, 0.500, 0.500)
Si (0.750, 0.750, 0.750)
Co (0.250, 0.250, 0.250)
Si (0.000, 0.000, 0.000)

Values from the calculation:
raw total energy: -7.04 eV per atom
total moment: 0.6 μB per cell

---

8.
DFT (PBE) results for crystalline K3RbZn2Sn2 at its relaxed geometry.

Unit cell a=6.856 b=6.515 c=6.968 alpha=90.00 beta=106.59 gamma=90.00
Atoms (fractional coordinates):
Zn (0.497, 0.750, 0.501)
Zn (0.497, 0.250, 0.501)
Sn (0.747, 0.500, 0.753)
Rb (0.020, 0.000, 0.675)
K (0.325, 0.500, 0.988)
K (0.679, 0.000, 0.015)
Sn (0.255, 0.000, 0.244)
K (0.981, 0.500, 0.322)

Values from the calculation:
raw total energy: -2.03 eV per atom

---

9.
DFT (PBE) results for crystalline Nd2Sn6Au3 at its relaxed geometry.

Unit cell a=13.433 b=13.433 c=6.497 alpha=90.00 beta=90.00 gamma=151.73
Atoms (fractional coordinates):
Au (0.350, 0.650, 0.750)
Sn (0.968, 0.579, 0.977)
Sn (0.032, 0.421, 0.477)
Sn (0.075, 0.925, 0.750)
Nd (0.096, 0.904, 0.250)
Sn (0.452, 0.548, 0.750)
Sn (0.925, 0.075, 0.250)
Sn (0.579, 0.968, 0.477)
Nd (0.406, 0.594, 0.250)
Sn (0.421, 0.032, 0.977)
Sn (0.421, 0.032, 0.523)
Au (0.218, 0.218, 0.000)
Au (0.782, 0.782, 0.500)
Nd (0.904, 0.096, 0.750)
Nd (0.594, 0.406, 0.750)
Sn (0.032, 0.421, 0.023)
Au (0.782, 0.782, 0.000)
Au (0.218, 0.218, 0.500)
Sn (0.548, 0.452, 0.250)
Sn (0.968, 0.579, 0.523)
Au (0.650, 0.350, 0.250)
Sn (0.579, 0.968, 0.023)

Values from the calculation:
raw total energy: -4.44 eV per atom
total moment: 0.0 μB per cell

---

10.
DFT (PBE) results for crystalline SrMgAsIr at its relaxed geometry.

Unit cell a=4.840 b=4.840 c=4.840 alpha=60.00 beta=60.00 gamma=60.00
Atoms (fractional coordinates):
As (0.000, 0.000, 0.000)
Ir (0.250, 0.250, 0.250)
Sr (0.500, 0.500, 0.500)
Mg (0.750, 0.750, 0.750)

Values from the calculation:
raw total energy: -4.16 eV per atom
total moment: 0.0 μB per cell

---

11.
DFT (PBE) results for crystalline HfZnIr at its relaxed geometry.

Unit cell a=4.386 b=4.386 c=4.386 alpha=60.00 beta=60.00 gamma=60.00
Atoms (fractional coordinates):
Zn (0.750, 0.750, 0.750)
Hf (0.000, 0.000, 0.000)
Ir (0.250, 0.250, 0.250)

Values from the calculation:
raw total energy: -6.69 eV per atom
energy of formation from the pure elements: 0.00 eV/atom
total moment: 0.0 μB per cell

---

12.
DFT (PBE) results for crystalline Np2Fe2C3 at its relaxed geometry.

Unit cell a=5.199 b=5.199 c=5.904 alpha=119.16 beta=119.16 gamma=37.76
Atoms (fractional coordinates):
C (0.000, 0.000, 0.000)
Fe (0.796, 0.796, 0.911)
C (0.802, 0.802, 0.255)
Fe (0.204, 0.204, 0.089)
Np (0.436, 0.436, 0.652)
C (0.198, 0.198, 0.745)
Np (0.564, 0.564, 0.348)

Values from the calculation:
raw total energy: -10.04 eV per atom
total moment: 6.3 μB per cell

---

13.
DFT (PBE) results for crystalline DyAuNO at its relaxed geometry.

Unit cell a=3.922 b=3.922 c=7.517 alpha=90.00 beta=90.00 gamma=90.00
Atoms (fractional coordinates):
N (0.000, 0.500, 0.686)
Au (0.500, 0.500, 0.500)
O (0.500, 0.500, 0.000)
Au (0.000, 0.000, 0.500)
Dy (0.500, 0.000, 0.857)
O (0.000, 0.000, 0.000)
N (0.500, 0.000, 0.314)
Dy (0.000, 0.500, 0.143)

Values from the calculation:
raw total energy: -6.19 eV per atom
total moment: 2.1 μB per cell

---

14.
DFT (PBE) results for crystalline NaHfCuTeSe2 at its relaxed geometry.

Unit cell a=7.327 b=7.327 c=10.483 alpha=90.00 beta=90.00 gamma=149.45
Atoms (fractional coordinates):
Cu (0.472, 0.528, 0.750)
Na (0.218, 0.782, 0.250)
Se (0.626, 0.374, 0.439)
Te (0.096, 0.904, 0.750)
Hf (0.000, 0.000, 0.500)
Hf (0.000, 0.000, 0.000)
Na (0.782, 0.218, 0.750)
Te (0.904, 0.096, 0.250)
Se (0.374, 0.626, 0.939)
Se (0.626, 0.374, 0.061)
Cu (0.528, 0.472, 0.250)
Se (0.374, 0.626, 0.561)

Values from the calculation:
raw total energy: -5.11 eV per atom
total moment: 0.0 μB per cell

---

15.
DFT (PBE) results for crystalline PuNbPt at its relaxed geometry.

Unit cell a=4.515 b=4.515 c=4.515 alpha=60.00 beta=60.00 gamma=60.00
Atoms (fractional coordinates):
Pt (0.250, 0.250, 0.250)
Nb (0.000, 0.000, 0.000)
Pu (0.750, 0.750, 0.750)

Values from the calculation:
raw total energy: -10.06 eV per atom
energy of formation from the pure elements: 0.03 eV/atom
total moment: 5.1 μB per cell

---

16.
DFT (PBE) results for crystalline Sb2Mo at its relaxed geometry.

Unit cell a=6.690 b=6.690 c=5.950 alpha=90.00 beta=90.00 gamma=150.35
Atoms (fractional coordinates):
Mo (0.098, 0.902, 0.001)
Mo (0.902, 0.098, 0.501)
Sb (0.561, 0.439, 0.363)
Sb (0.439, 0.561, 0.863)
Sb (0.710, 0.290, 0.719)
Sb (0.290, 0.710, 0.219)

Values from the calculation:
raw total energy: -6.29 eV per atom
total moment: 0.0 μB per cell

---

17.
DFT (PBE) results for crystalline LuHf2Al at its relaxed geometry.

Unit cell a=4.989 b=4.989 c=4.989 alpha=60.00 beta=60.00 gamma=60.00
Atoms (fractional coordinates):
Hf (0.750, 0.750, 0.750)
Al (0.500, 0.500, 0.500)
Hf (0.000, 0.000, 0.000)
Lu (0.250, 0.250, 0.250)

Values from the calculation:
raw total energy: -7.01 eV per atom
total moment: 1.9 μB per cell

---

18.
DFT (PBE) results for crystalline CsCuPSe3 at its relaxed geometry.

Unit cell a=10.074 b=13.247 c=10.837 alpha=90.00 beta=102.85 gamma=90.00
Atoms (fractional coordinates):
Se (0.363, 0.334, 0.388)
Se (0.995, 0.593, 0.743)
Cs (0.612, 0.180, 0.618)
Cu (0.021, 0.402, 0.039)
Se (0.774, 0.075, 0.016)
Cu (0.021, 0.098, 0.539)
Se (0.751, 0.575, 0.987)
P (0.281, 0.538, 0.167)
Cs (0.867, 0.846, 0.840)
Se (0.226, 0.925, 0.984)
Se (0.249, 0.075, 0.513)
Cs (0.388, 0.680, 0.882)
P (0.281, 0.962, 0.667)
Cs (0.388, 0.820, 0.382)
Cs (0.133, 0.154, 0.160)
Se (0.504, 0.080, 0.257)
Se (0.152, 0.675, 0.120)
P (0.216, 0.041, 0.834)
Cs (0.133, 0.346, 0.660)
Se (0.005, 0.407, 0.257)
P (0.719, 0.038, 0.333)
P (0.784, 0.959, 0.166)
Cs (0.612, 0.320, 0.118)
Se (0.504, 0.420, 0.757)
Se (0.637, 0.666, 0.612)
Se (0.995, 0.907, 0.243)
P (0.216, 0.459, 0.334)
Se (0.848, 0.175, 0.380)
Cu (0.455, 0.548, 0.596)
Se (0.637, 0.834, 0.112)
Se (0.152, 0.825, 0.620)
Cu (0.979, 0.598, 0.961)
Se (0.249, 0.425, 0.013)
Se (0.751, 0.925, 0.487)
Cu (0.545, 0.452, 0.404)
Cu (0.979, 0.902, 0.461)
Se (0.363, 0.166, 0.888)
P (0.784, 0.541, 0.666)
Se (0.848, 0.325, 0.880)
Se (0.496, 0.580, 0.243)
Cu (0.455, 0.952, 0.096)
Se (0.005, 0.093, 0.757)
Se (0.774, 0.425, 0.516)
P (0.719, 0.462, 0.833)
Cs (0.867, 0.654, 0.340)
Se (0.226, 0.575, 0.484)
Cu (0.545, 0.048, 0.904)
Se (0.496, 0.920, 0.743)

Values from the calculation:
raw total energy: -3.93 eV per atom

---

19.
DFT (PBE) results for crystalline KHfTe2PdS at its relaxed geometry.

Unit cell a=8.958 b=4.010 c=10.112 alpha=90.00 beta=111.84 gamma=90.00
Atoms (fractional coordinates):
Te (0.051, 0.750, 0.362)
Te (0.589, 0.750, 0.358)
S (0.264, 0.750, 0.943)
K (0.243, 0.250, 0.188)
Hf (0.795, 0.250, 0.312)
K (0.757, 0.750, 0.812)
S (0.736, 0.250, 0.057)
Hf (0.205, 0.750, 0.688)
Pd (0.597, 0.750, 0.086)
Pd (0.403, 0.250, 0.914)
Te (0.949, 0.250, 0.638)
Te (0.411, 0.250, 0.642)

Values from the calculation:
raw total energy: -5.32 eV per atom
total moment: 0.0 μB per cell